[1]
# Tb5NpBi6, optimized geometry, DFT PBE
# Energy relative to the elements ... -8.510 eV/f.u.
# E ... -5.657 eV per atom
data_Tb5NpBi6
_space_group_name_H-M_alt 'C 1 2/m 1'
_space_group_IT_number 12
_cell_length_a 7.792
_cell_length_b 13.496
_cell_length_c 7.793
_cell_angle_alpha 90.00
_cell_angle_beta 109.44
_cell_angle_gamma 90.00
loop_
_space_group_symop_operation_xyz
'x,y,z'
'-x,-y,-z'
'-x,y,-z'
'x,-y,z'
'x+1/2,y+1/2,z'
'-x+1/2,-y+1/2,-z'
'-x+1/2,y+1/2,-z'
'x+1/2,-y+1/2,z'
loop_
_atom_site_label
_atom_site_fract_x
_atom_site_fract_y
_atom_site_fract_z
_atom_site_occupancy
Tb1 0.000 0.000 0.000 1
Tb2 0.000 0.167 0.500 1
Tb3 0.000 0.333 0.000 1
Np1 0.000 0.500 0.500 1
Bi1 0.250 0.000 0.750 1
Bi2 0.250 0.167 0.249 1

[2]
# Tb2NpBi3, optimized geometry, DFT PBE
# Energy relative to the elements ... -3.251 eV/f.u.
# E ... -6.183 eV per atom
data_Tb2NpBi3
_space_group_name_H-M_alt 'F d d d'
_space_group_IT_number 70
_cell_length_a 9.014
_cell_length_b 12.729
_cell_length_c 26.994
_cell_angle_alpha 90.00
_cell_angle_beta 90.00
_cell_angle_gamma 90.00
loop_
_space_group_symop_operation_xyz
'x,y,z'
'-x,-y,-z'
'-x+1/4,-y+1/4,z'
'x+1/4,y+1/4,-z'
'x,-y+1/4,-z+1/4'
'-x,y+1/4,z+1/4'
'-x+1/4,y,-z+1/4'
'x+1/4,-y,z+1/4'
'x,y+1/2,z+1/2'
'-x,-y+1/2,-z+1/2'
'-x+1/4,-y+3/4,z+1/2'
'x+1/4,y+3/4,-z+1/2'
'x,-y+3/4,-z+3/4'
'-x,y+3/4,z+3/4'
'-x+1/4,y+1/2,-z+3/4'
'x+1/4,-y+1/2,z+3/4'
'x+1/2,y,z+1/2'
'-x+1/2,-y,-z+1/2'
'-x+3/4,-y+1/4,z+1/2'
'x+3/4,y+1/4,-z+1/2'
'x+1/2,-y+1/4,-z+3/4'
'-x+1/2,y+1/4,z+3/4'
'-x+3/4,y,-z+3/4'
'x+3/4,-y,z+3/4'
'x+1/2,y+1/2,z'
'-x+1/2,-y+1/2,-z'
'-x+3/4,-y+3/4,z'
'x+3/4,y+3/4,-z'
'x+1/2,-y+3/4,-z+1/4'
'-x+1/2,y+3/4,z+1/4'
'-x+3/4,y+1/2,-z+1/4'
'x+3/4,-y+1/2,z+1/4'
loop_
_atom_site_label
_atom_site_fract_x
_atom_site_fract_y
_atom_site_fract_z
_atom_site_occupancy
Tb1 0.125 0.125 0.042 1
Tb2 0.125 0.125 0.375 1
Np1 0.125 0.125 0.542 1
Bi1 0.124 0.375 0.208 1
Bi2 0.124 0.375 0.375 1

[3]
# Np2TcBi, optimized geometry, DFT PBE
# Energy relative to the elements ... 1.347 eV/f.u.
# ΔE to the lowest computed polymorph ... 0.43 eV per formula unit
# E ... -9.695 eV per atom
data_Np2TcBi
_space_group_name_H-M_alt 'R -3 m'
_space_group_IT_number 166
_space_group_name_Hall '-R 3 2"'
_cell_length_a 3.2768
_cell_length_b 3.2768
_cell_length_c 30.2386
_cell_angle_alpha 90.00
_cell_angle_beta 90.00
_cell_angle_gamma 120.00
loop_
_atom_site_label
_atom_site_fract_x
_atom_site_fract_y
_atom_site_fract_z
_atom_site_occupancy
Np1 0.0000 0.0000 0.2366 1
Tc1 0.0000 0.0000 0.5000 1
Bi1 0.0000 0.0000 0.0000 1

[4]
# Np2TcBi, optimized geometry, DFT PBE
# Energy relative to the elements ... 0.916 eV/f.u.
# ΔE to the lowest computed polymorph ... 0.00 eV per formula unit
# E ... -9.803 eV per atom
data_Np2TcBi
_space_group_name_H-M_alt 'P 4/m m m'
_space_group_IT_number 123
_space_group_name_Hall '-P 4 2'
_cell_length_a 3.855
_cell_length_b 3.855
_cell_length_c 6.052
_cell_angle_alpha 90.00
_cell_angle_beta 90.00
_cell_angle_gamma 90.00
loop_
_atom_site_label
_atom_site_fract_x
_atom_site_fract_y
_atom_site_fract_z
_atom_site_occupancy
Np1 0.000 0.000 0.216 1
Tc1 0.500 0.500 0.000 1
Bi1 0.500 0.500 0.500 1

Values of magnetic moment, in order: 0.32 0.66 1.93 1.67, all in μB per atom.